{"formula": "HoEr2Au3", "functional": "PBE", "state": "relaxed", "e_form_ev_per_atom": -0.883, "cell": [[3.553, 0.000, 0.000], [0.000, 3.553, 0.000], [0.000, 0.000, 10.828]], "species": ["Au", "Au", "Au", "Ho", "Er", "Er"], "fractional_positions": [[0.000, 0.000, 0.668], [0.000, 0.000, 0.332], [0.000, 0.000, 0.000], [0.500, 0.500, 0.500], [0.500, 0.500, 0.834], [0.500, 0.500, 0.166]]}

{"formula": "BeZnCoMo", "functional": "PBE", "state": "relaxed", "e_form_ev_per_atom": 0.062, "cell": [[4.085, 0.000, 0.000], [2.042, 3.538, 0.000], [2.042, 1.179, 3.335]], "species": ["Be", "Co", "Zn", "Mo"], "fractional_positions": [[0.000, 0.000, 0.000], [0.500, 0.500, 0.500], [0.750, 0.750, 0.750], [0.250, 0.250, 0.250]]}

What is the formula in the first record? HoEr2Au3

Copy entry 1 word for word.
{"formula": "HoEr2Au3", "functional": "PBE", "state": "relaxed", "e_form_ev_per_atom": -0.883, "cell": [[3.553, 0.000, 0.000], [0.000, 3.553, 0.000], [0.000, 0.000, 10.828]], "species": ["Au", "Au", "Au", "Ho", "Er", "Er"], "fractional_positions": [[0.000, 0.000, 0.668], [0.000, 0.000, 0.332], [0.000, 0.000, 0.000], [0.500, 0.500, 0.500], [0.500, 0.500, 0.834], [0.500, 0.500, 0.166]]}